(a)
19
Lattice="5.8365 -1.6430 0.1417 -4.3457 10.1213 -6.1552 0.1893 -2.0235 12.4522" Properties=species:S:1:pos:R:3 comment="Tb2Dy5Tm12, relaxed, DFT GGA-PBE" spacegroup="P-1, No. 2" pbc="T T T"
Tb 3.6514 0.0111 1.4251
Tb -1.9713 6.4437 5.0136
Dy -0.7234 3.3294 3.9975
Dy 0.1213 5.7937 -2.4962
Dy 0.0946 -1.0118 6.2261
Dy 1.5587 0.6611 8.9349
Dy 2.4034 3.1253 2.4412
Tm 0.5205 0.2163 2.9798
Tm -2.5833 7.2267 -4.1912
Tm 0.7391 5.0005 6.7087
Tm 2.8305 4.3594 -0.8072
Tm -0.3016 4.5650 0.7440
Tm -1.5424 7.6758 1.7610
Tm 3.2224 -1.2210 4.6777
Tm -1.1505 2.0953 7.2459
Tm 1.9816 1.8897 5.6947
Tm 4.2633 -0.7719 10.6299
Tm 0.9409 1.4542 -0.2700
Tm 1.1595 6.2385 3.4589


(b)
19
Lattice="-1.8598 8.9244 0.9370 -2.3859 -4.4279 -7.3768 -7.2890 -1.9214 3.8328" Properties=species:S:1:pos:R:3 comment="Tb2Dy5Tm12, relaxed, DFT GGA-PBE" spacegroup="C2/m, No. 12" pbc="T T T"
Tb -1.2547 6.0204 0.6321
Tb -0.6052 2.9040 0.3049
Dy -5.7050 -1.0843 -0.9965
Dy -9.1104 -1.8664 -0.3063
Dy -3.6445 -0.9607 1.9164
Dy -2.4243 4.4415 -2.3008
Dy -5.8297 3.6594 -1.6105
Tm -4.6627 4.2481 -4.9017
Tm -7.2569 -4.2965 -2.2301
Tm -8.4499 1.4284 -1.6290
Tm -4.5453 -2.3217 -4.0111
Tm -5.2550 1.0841 -3.6536
Tm -7.7971 -1.2498 -3.5731
Tm -3.7376 3.8249 0.9661
Tm -6.9895 4.8968 1.4041
Tm -6.2797 1.4910 1.0465
Tm -4.2778 6.8716 -0.3769
Tm -3.0848 1.1467 -0.9780
Tm -6.8720 -1.6730 2.2947


Top of the stability list: (a), leading by 0.106 eV/atom.


(a)
8
Lattice="-2.5049 2.0107 4.5386 2.0346 -2.0223 2.0189 10.0514 8.4861 -1.6179" Properties=species:S:1:pos:R:3 comment="TbDy3Tm4, relaxed, DFT GGA-PBE" spacegroup="Cmmm, No. 65" pbc="T T T"
Tm 1.5944 1.9678 3.4142
Tm 7.9865 6.5068 1.5253
Tm 5.8850 4.2456 1.3672
Tm 3.6959 4.2289 3.5723
Tb -1.2525 1.0054 2.2693
Dy 1.0173 -1.0112 1.0094
Dy 6.8331 5.5130 4.7349
Dy 2.7479 2.9615 0.2046


(b)
16
Lattice="6.2157 0.0000 0.0000 0.0000 7.1879 0.0000 0.0000 0.0000 11.1152" Properties=species:S:1:pos:R:3 comment="TbDy3Tm4, relaxed, DFT GGA-PBE" spacegroup="Pmn2_1, No. 31" pbc="T T T"
Tb 0.9177 2.6834 0.0000
Tb 4.0255 4.5045 5.5576
Dy 4.0229 4.5026 0.0000
Dy 6.0994 4.5045 2.7776
Dy 2.9916 2.6835 2.7800
Dy 0.9151 2.6853 5.5576
Dy 2.9916 2.6835 8.3352
Dy 6.0994 4.5045 8.3376
Tm 0.9189 6.3018 0.0000
Tm 4.0300 0.8871 0.0000
Tm 6.0964 0.8865 2.7827
Tm 2.9886 6.3014 2.7749
Tm 0.9221 6.3008 5.5576
Tm 4.0268 0.8861 5.5576
Tm 2.9886 6.3014 8.3403
Tm 6.0964 0.8865 8.3325


Top of the stability list: (b), leading by 0.208 eV/atom.


(a)
12
Lattice="-0.0848 -3.8449 5.9628 5.4227 -2.4643 -1.5146 5.7140 1.6030 9.5603" Properties=species:S:1:pos:R:3 comment="TbDy7Tm4, relaxed, DFT GGA-PBE" spacegroup="P-1, No. 2" pbc="T T T"
Tb 0.0000 0.0000 0.0000
Dy 2.6532 -4.1106 3.7069
Dy 8.3986 -0.5957 10.3015
Dy 5.3027 0.0552 6.4333
Dy 5.7491 -4.7615 7.5751
Dy 7.9906 -2.1360 7.1758
Dy -0.0424 -1.9224 2.9814
Dy 3.0612 -2.5702 6.8326
Tm 5.7907 -2.8359 4.5772
Tm 5.2611 -1.8704 9.4312
Tm 7.9548 -4.0630 10.1554
Tm 3.0970 -0.6433 3.8531


(b)
12
Lattice="3.5191 0.0000 0.0000 -1.7595 3.0476 0.0000 0.0000 0.0000 34.4032" Properties=species:S:1:pos:R:3 comment="TbDy7Tm4, relaxed, DFT GGA-PBE" spacegroup="P-3m1, No. 164" pbc="T T T"
Tb 0.0000 0.0000 17.2016
Dy 0.0000 0.0000 0.0000
Dy 1.7595 1.0159 20.1008
Dy 0.0000 2.0317 14.3024
Dy 1.7595 1.0159 28.6969
Dy 0.0000 2.0317 5.7063
Dy 0.0000 0.0000 8.6005
Dy 0.0000 0.0000 25.8027
Tm 1.7595 1.0159 2.8539
Tm 0.0000 2.0317 31.5493
Tm 1.7595 1.0159 11.4537
Tm 0.0000 2.0317 22.9494


Top of the stability list: (a), leading by 0.024 eV/atom.


(a)
11
Lattice="7.3163 0.0000 0.0000 3.6582 5.4149 0.7457 3.6582 1.6814 9.0244" Properties=species:S:1:pos:R:3 comment="Tb4Dy5Tm2, relaxed, DFT GGA-PBE" spacegroup="C2/m, No. 12" pbc="T T T"
Tb 7.3163 5.5796 5.1543
Tb 7.3163 1.5167 4.6158
Tb 10.9745 5.7098 8.5282
Tb 3.6582 1.3865 1.2419
Dy 5.7007 3.2694 7.2817
Dy 8.9320 3.8270 2.4884
Dy 3.6582 3.5482 4.8851
Dy 8.9320 3.2694 7.2817
Dy 5.7007 3.8270 2.4884
Tm 7.3164 5.9940 8.5504
Tm 7.3163 1.1023 1.2197


(b)
11
Lattice="-1.8604 -0.0267 -3.1258 9.4674 2.0654 -1.4121 -3.6464 -11.5042 0.1489" Properties=species:S:1:pos:R:3 comment="Tb4Dy5Tm2, relaxed, DFT GGA-PBE" spacegroup="C2/m, No. 12" pbc="T T T"
Tb 1.2620 -3.0816 -2.8404
Tb 2.4364 0.1505 -1.4508
Tb 2.6986 -6.3840 -1.5486
Tb 1.5242 -9.6161 -2.9382
Dy -2.3712 -2.8757 -2.7995
Dy 6.3319 -6.5899 -1.5895
Dy 4.8922 -3.8017 -2.8743
Dy -0.9302 -0.0134 -1.5629
Dy -0.9315 -5.6639 -1.5147
Tm -1.5812 -8.4756 -3.2191
Tm 5.5418 -0.9900 -1.1699


Top of the stability list: (b), leading by 0.066 eV/atom.